1.
Material: Tm4As2PS
Method: DFT, PBE-GGA
State: optimized geometry

a = 6.8889 Å, b = 3.9854 Å, c = 6.8963 Å
α = 90.00°, β = 109.41°, γ = 90.00°
Closest atoms and distances in Å follow each position.
Sites, in units of the cell vectors:
Tm: 0.2445 0.0000 0.2449  2 P 2.79, 1 S 2.81, 3 As 2.82-2.85
Tm: 0.2474 0.5000 0.7530  1 P 2.78, 3 As 2.82-2.84, 2 S 2.82
Tm: 0.7526 0.5000 0.2470  1 P 2.78, 3 As 2.82-2.84, 2 S 2.82
Tm: 0.7555 0.0000 0.7551  2 P 2.79, 1 S 2.81, 3 As 2.82-2.85
As: 0.5000 0.0000 0.0000  6 Tm 2.82
As: 0.5000 0.5000 0.5000  6 Tm 2.84-2.85
P: 0.0000 0.5000 0.0000  6 Tm 2.78-2.79
S: 0.0000 0.0000 0.5000  6 Tm 2.81-2.82

* total magnetization: 0.00 μB/atom
* formation energy without anion corrections: -162.23 kJ per mole of atoms
* space group: No. 10

***

2.
Material: Tm8As3PS4
Method: DFT, PBE-GGA
State: optimized geometry

a = 7.8684 Å, b = 7.8684 Å, c = 7.8684 Å
α = 60.36°, β = 60.36°, γ = 60.36°
Closest atoms and distances in Å follow each position.
Sites, in units of the cell vectors:
Tm: 0.2443 0.7538 0.7538  1 P 2.75, 3 S 2.78-2.83, 2 As 2.80
Tm: 0.2462 0.2462 0.7557  1 P 2.75, 3 S 2.78-2.83, 2 As 2.80
Tm: 0.2462 0.7557 0.2462  1 P 2.75, 3 S 2.78-2.83, 2 As 2.80
Tm: 0.2491 0.2491 0.2491  3 S 2.78, 3 As 2.80
Tm: 0.7509 0.7509 0.7509  3 S 2.78, 3 As 2.80
Tm: 0.7538 0.2443 0.7538  1 P 2.75, 3 S 2.78-2.83, 2 As 2.80
Tm: 0.7538 0.7538 0.2443  1 P 2.75, 3 S 2.78-2.83, 2 As 2.80
Tm: 0.7557 0.2462 0.2462  1 P 2.75, 3 S 2.78-2.83, 2 As 2.80
As: 0.0000 0.5000 0.5000  6 Tm 2.80
As: 0.5000 0.0000 0.5000  6 Tm 2.80
As: 0.5000 0.5000 0.0000  6 Tm 2.80
P: 0.0000 0.0000 0.0000  6 Tm 2.75
S: 0.0000 0.0000 0.5000  6 Tm 2.78
S: 0.0000 0.5000 0.0000  6 Tm 2.78
S: 0.5000 0.0000 0.0000  6 Tm 2.78
S: 0.5000 0.5000 0.5000  6 Tm 2.83

* total magnetization: 0.00 μB/atom
* formation energy without anion corrections: -170.45 kJ per mole of atoms
* space group: No. 166

***

3.
Material: Tm4AsPS2
Method: DFT, PBE-GGA
State: optimized geometry

a = 6.7829 Å, b = 3.9368 Å, c = 6.8301 Å
α = 90.00°, β = 109.65°, γ = 90.00°
Closest atoms and distances in Å follow each position.
Sites, in units of the cell vectors:
Tm: 0.2443 0.0000 0.2422  2 P 2.74, 3 S 2.77-2.82, 1 As 2.79
Tm: 0.2488 0.5000 0.7559  1 P 2.74, 3 S 2.77-2.82, 2 As 2.79
Tm: 0.7512 0.5000 0.2441  1 P 2.74, 3 S 2.77-2.82, 2 As 2.79
Tm: 0.7557 0.0000 0.7578  2 P 2.74, 3 S 2.77-2.82, 1 As 2.79
As: 0.0000 0.0000 0.5000  6 Tm 2.79
P: 0.0000 0.5000 0.0000  6 Tm 2.74
S: 0.5000 0.0000 0.0000  6 Tm 2.77
S: 0.5000 0.5000 0.5000  6 Tm 2.82

* total magnetization: 0.00 μB/atom
* formation energy without anion corrections: -172.53 kJ per mole of atoms
* space group: No. 10

***

4.
Material: Tm8As4P3S
Method: DFT, PBE-GGA
State: optimized geometry

a = 7.9890 Å, b = 7.9890 Å, c = 7.9890 Å
α = 59.99°, β = 59.99°, γ = 59.99°
Closest atoms and distances in Å follow each position.
Sites, in units of the cell vectors:
Tm: 0.2447 0.7502 0.7502  2 P 2.80, 3 As 2.82-2.85, 1 S 2.83
Tm: 0.2475 0.2475 0.2475  3 P 2.80, 3 As 2.85
Tm: 0.2498 0.2498 0.7553  2 P 2.80, 3 As 2.82-2.85, 1 S 2.83
Tm: 0.2498 0.7553 0.2498  2 P 2.80, 3 As 2.82-2.85, 1 S 2.83
Tm: 0.7502 0.2447 0.7502  2 P 2.80, 3 As 2.82-2.85, 1 S 2.83
Tm: 0.7502 0.7502 0.2447  2 P 2.80, 3 As 2.82-2.85, 1 S 2.83
Tm: 0.7525 0.7525 0.7525  3 P 2.80, 3 As 2.85
Tm: 0.7553 0.2498 0.2498  2 P 2.80, 3 As 2.82-2.85, 1 S 2.83
As: 0.0000 0.0000 0.0000  6 Tm 2.82
As: 0.0000 0.5000 0.5000  6 Tm 2.85
As: 0.5000 0.0000 0.5000  6 Tm 2.85
As: 0.5000 0.5000 0.0000  6 Tm 2.85
P: 0.0000 0.0000 0.5000  6 Tm 2.80
P: 0.0000 0.5000 0.0000  6 Tm 2.80
P: 0.5000 0.0000 0.0000  6 Tm 2.80
S: 0.5000 0.5000 0.5000  6 Tm 2.83

* total magnetization: 0.00 μB/atom
* formation energy without anion corrections: -156.84 kJ per mole of atoms
* space group: No. 166